The following is a DFT calculation (PBE-GGA) of a relaxed ZnInBr3 crystal.

abc: 6.718 7.777 8.448
angles: 104.39 90.26 114.11
Fractional positions:
Zn (0.011, 0.138, 0.185)
Zn (0.989, 0.862, 0.815)
In (0.144, 0.362, 0.658)
In (0.856, 0.638, 0.342)
Br (0.187, 0.911, 0.084)
Br (0.236, 0.970, 0.618)
Br (0.267, 0.472, 0.307)
Br (0.733, 0.528, 0.693)
Br (0.764, 0.030, 0.382)
Br (0.813, 0.089, 0.916)

Values from the calculation:
Space group: P-1
Polymorph energy (0 for the lowest one), meV per atom: 0
Uncorrected formation energy, eV/atom: -0.793
Energy, eV/f.u.: -12.99
Density, Mg/m³: 3.6

=====

The following is a DFT calculation (PBE-GGA) of a relaxed AcCdPt crystal.

abc: 7.700 4.402 9.103
angles: 90.00 90.00 90.00
Fractional positions:
Ac (0.049, 0.250, 0.183)
Ac (0.451, 0.750, 0.683)
Ac (0.549, 0.250, 0.317)
Ac (0.951, 0.750, 0.817)
Cd (0.130, 0.250, 0.557)
Cd (0.370, 0.750, 0.057)
Cd (0.630, 0.250, 0.943)
Cd (0.870, 0.750, 0.443)
Pt (0.242, 0.250, 0.870)
Pt (0.258, 0.750, 0.370)
Pt (0.742, 0.250, 0.630)
Pt (0.758, 0.750, 0.130)

Values from the calculation:
Space group: Pnma
Polymorph energy (0 for the lowest one), meV per atom: 0
Energy, eV/f.u.: -13.61
Energy of formation, meV per atom: -849
Density, Mg/m³: 11.5

=====

The following is a DFT calculation (PBE-GGA) of a relaxed NaCeCu2Cl8 crystal.

abc: 6.633 6.664 8.262
angles: 106.55 90.90 97.93
Fractional positions:
Na (0.000, 0.000, 0.000)
Ce (0.000, 0.000, 0.500)
Cu (0.461, 0.626, 0.175)
Cu (0.539, 0.374, 0.825)
Cl (0.113, 0.777, 0.687)
Cl (0.144, 0.762, 0.215)
Cl (0.361, 0.251, 0.570)
Cl (0.393, 0.275, 0.044)
Cl (0.607, 0.725, 0.956)
Cl (0.639, 0.749, 0.430)
Cl (0.856, 0.238, 0.785)
Cl (0.887, 0.223, 0.313)

Values from the calculation:
Space group: P-1
Uncorrected formation energy, eV/atom: -1.312
Energy, eV/f.u.: -45.97
Density, Mg/m³: 2.8

=====

The following is a DFT calculation (PBE-GGA) of a relaxed Pr3HoAg4 crystal.

abc: 3.720 3.720 15.144
angles: 90.00 90.00 90.00
Fractional positions:
Pr (0.000, 0.000, 0.000)
Pr (0.000, 0.000, 0.256)
Pr (0.000, 0.000, 0.744)
Ho (0.000, 0.000, 0.500)
Ag (0.500, 0.500, 0.127)
Ag (0.500, 0.500, 0.389)
Ag (0.500, 0.500, 0.611)
Ag (0.500, 0.500, 0.873)

Values from the calculation:
Space group: P4/mmm
Energy, eV/f.u.: -32.45
Energy of formation, meV per atom: -266
Density, Mg/m³: 8.1

=====

The following is a DFT calculation (PBE-GGA) of a relaxed KCoSb2 crystal.

abc: 4.650 4.650 4.560
angles: 90.00 90.00 90.00
Fractional positions:
K (0.000, 0.000, 0.000)
Co (0.500, 0.500, 0.000)
Sb (0.000, 0.500, 0.500)
Sb (0.500, 0.000, 0.500)

Values from the calculation:
Space group: P4/mmm
Polymorph energy (0 for the lowest one), meV per atom: 679
Uncorrected formation energy, eV/atom: 0.502
Energy, eV/f.u.: -14.44
Density, Mg/m³: 5.8

=====

The following is a DFT calculation (PBE-GGA) of a relaxed NaSm2Tm crystal.

abc: 3.508 3.508 10.844
angles: 90.00 90.00 90.00
Fractional positions:
Na (0.000, 0.000, 0.000)
Sm (0.500, 0.500, 0.269)
Sm (0.500, 0.500, 0.731)
Tm (0.000, 0.000, 0.500)

Values from the calculation:
Space group: P4/mmm
Polymorph energy (0 for the lowest one), meV per atom: 0
Energy, eV/f.u.: -14.79
Energy of formation, meV per atom: 111
Density, Mg/m³: 6.1

=====

The following is a DFT calculation (PBE-GGA) of a relaxed LiVSn2 crystal.

abc: 4.829 4.829 3.322
angles: 90.00 90.00 90.00
Fractional positions:
Li (0.000, 0.000, 0.000)
V (0.500, 0.500, 0.000)
Sn (0.000, 0.500, 0.500)
Sn (0.500, 0.000, 0.500)

Values from the calculation:
Space group: P4/mmm
Polymorph energy (0 for the lowest one), meV per atom: 37
Energy, eV/f.u.: -19.00
Energy of formation, meV per atom: 9
Density, Mg/m³: 6.3

=====

The following is a DFT calculation (PBE-GGA) of a relaxed NaHoPd crystal.

abc: 4.031 4.031 9.419
angles: 102.43 102.43 89.08
Fractional positions:
Na (0.245, 0.245, 0.499)
Na (0.755, 0.755, 0.501)
Ho (0.314, 0.314, 0.129)
Ho (0.686, 0.686, 0.871)
Pd (0.154, 0.154, 0.805)
Pd (0.846, 0.846, 0.195)

Values from the calculation:
Space group: C2/m
Energy, eV/f.u.: -12.33
Energy of formation, meV per atom: -414
Density, Mg/m³: 6.7

=====

The following is a DFT calculation (PBE-GGA) of a relaxed TaTc2P crystal.

abc: 8.220 8.220 8.220
angles: 20.65 20.65 20.65
Fractional positions:
Ta (0.000, 0.000, 0.000)
Tc (0.240, 0.240, 0.240)
Tc (0.760, 0.760, 0.760)
P (0.500, 0.500, 0.500)

Values from the calculation:
Space group: R-3m
Energy, eV/f.u.: -38.35
Energy of formation, meV per atom: -88
Density, Mg/m³: 11.2

=====

The following is a DFT calculation (PBE-GGA) of a relaxed K2ErF6 crystal.

abc: 7.129 7.129 3.972
angles: 102.84 102.84 52.73
Fractional positions:
K (0.169, 0.169, 0.163)
K (0.831, 0.831, 0.837)
Er (0.500, 0.500, 0.500)
F (0.142, 0.579, 0.360)
F (0.303, 0.697, 0.000)
F (0.421, 0.858, 0.640)
F (0.579, 0.142, 0.360)
F (0.697, 0.303, 0.000)
F (0.858, 0.421, 0.640)

Values from the calculation:
Space group: C2/m
Uncorrected formation energy, eV/atom: -3.092
Energy, eV/f.u.: -45.81
Density, Mg/m³: 3.8

=====

The following is a DFT calculation (PBE-GGA) of a relaxed KAlSb3 crystal.

abc: 5.454 5.454 5.454
angles: 90.00 90.00 90.00
Fractional positions:
K (0.000, 0.000, 0.000)
Al (0.500, 0.500, 0.500)
Sb (0.000, 0.500, 0.500)
Sb (0.500, 0.000, 0.500)
Sb (0.500, 0.500, 0.000)

Values from the calculation:
Space group: Pm-3m
Polymorph energy (0 for the lowest one), meV per atom: 0
Uncorrected formation energy, eV/atom: 0.156
Energy, eV/f.u.: -16.43
Density, Mg/m³: 4.4

=====

The following is a DFT calculation (PBE-GGA) of a relaxed ScCuHg crystal.

abc: 13.087 3.410 7.505
angles: 90.00 90.00 90.00
Fractional positions:
Sc (0.051, 0.000, 0.230)
Sc (0.250, 0.000, 0.832)
Sc (0.449, 0.000, 0.230)
Sc (0.551, 0.000, 0.770)
Sc (0.750, 0.000, 0.168)
Sc (0.949, 0.000, 0.770)
Cu (0.087, 0.500, 0.940)
Cu (0.250, 0.000, 0.440)
Cu (0.413, 0.500, 0.940)
Cu (0.587, 0.500, 0.060)
Cu (0.750, 0.000, 0.560)
Cu (0.913, 0.500, 0.060)
Hg (0.109, 0.500, 0.578)
Hg (0.250, 0.500, 0.162)
Hg (0.391, 0.500, 0.578)
Hg (0.609, 0.500, 0.422)
Hg (0.750, 0.500, 0.838)
Hg (0.891, 0.500, 0.422)

Values from the calculation:
Space group: Pmma
Polymorph energy (0 for the lowest one), meV per atom: 0
Energy, eV/f.u.: -11.56
Energy of formation, meV per atom: -278
Density, Mg/m³: 9.2

=====

The following is a DFT calculation (PBE-GGA) of a relaxed DySn3Au crystal.

abc: 12.634 6.259 6.264
angles: 90.00 90.00 90.00
Fractional positions:
Dy (0.193, 0.008, 0.250)
Dy (0.193, 0.492, 0.750)
Dy (0.807, 0.508, 0.250)
Dy (0.807, 0.992, 0.750)
Sn (0.000, 0.250, 0.000)
Sn (0.000, 0.250, 0.500)
Sn (0.000, 0.750, 0.000)
Sn (0.000, 0.750, 0.500)
Sn (0.241, 0.516, 0.250)
Sn (0.241, 0.984, 0.750)
Sn (0.432, 0.638, 0.750)
Sn (0.432, 0.862, 0.250)
Sn (0.568, 0.138, 0.750)
Sn (0.568, 0.362, 0.250)
Sn (0.759, 0.016, 0.250)
Sn (0.759, 0.484, 0.750)
Au (0.384, 0.250, 0.000)
Au (0.384, 0.250, 0.500)
Au (0.616, 0.750, 0.000)
Au (0.616, 0.750, 0.500)

Values from the calculation:
Space group: Pbcm
Energy, eV/f.u.: -21.97
Energy of formation, meV per atom: -416
Density, Mg/m³: 9.6

=====

The following is a DFT calculation (PBE-GGA) of a relaxed LiInHg14 crystal.

abc: 8.880 8.236 8.236
angles: 45.23 90.00 90.00
Fractional positions:
Li (0.000, 0.000, 0.000)
In (0.000, 0.582, 0.582)
Hg (0.000, 0.092, 0.579)
Hg (0.000, 0.579, 0.092)
Hg (0.172, 0.172, 0.172)
Hg (0.246, 0.726, 0.726)
Hg (0.264, 0.223, 0.727)
Hg (0.264, 0.727, 0.223)
Hg (0.500, 0.083, 0.564)
Hg (0.500, 0.121, 0.121)
Hg (0.500, 0.564, 0.083)
Hg (0.500, 0.588, 0.588)
Hg (0.736, 0.223, 0.727)
Hg (0.736, 0.727, 0.223)
Hg (0.754, 0.726, 0.726)
Hg (0.828, 0.172, 0.172)

Values from the calculation:
Space group: Amm2
Energy, eV/f.u.: -9.36
Energy of formation, meV per atom: -30
Density, Mg/m³: 11.4